A relaxed Ba3TlV2O8 crystal, computed with PBE+U.

Properties
calculated total energy: -93.96 eV/cell
size of the total moment: 0.878 μB/f.u.

Cell lengths 5.8257, 5.8257, 9.5910 Å; angles 90.00, 90.00, 120.00 degrees
Space group P-3m1 (No. 164)
Symmetry-distinct sites (fractional):
1 Ba 0.0000 0.0000 0.0000 (multiplicity 1)
2 Ba 0.3333 0.6667 0.7213 (multiplicity 2)
3 Tl 0.0000 0.0000 0.5000 (multiplicity 1)
4 V 0.3333 0.6667 0.1670 (multiplicity 2)
5 O 0.1719 0.3438 0.2304 (multiplicity 6)
6 O 0.3333 0.6667 0.9847 (multiplicity 2)